No. 1
The following is a PBE-GGA calculation of a relaxed OsCl crystal, from Alexandria.

a b c (Å): 11.652 11.652 2.952
angles (deg): 90.00 90.00 90.00
Positions (direct):
Os  0.191  0.191  0.000
Os  0.191  0.809  0.000
Os  0.309  0.309  0.500
Os  0.309  0.691  0.500
Os  0.691  0.309  0.500
Os  0.691  0.691  0.500
Os  0.809  0.191  0.000
Os  0.809  0.809  0.000
Cl  0.000  0.247  0.000
Cl  0.000  0.753  0.000
Cl  0.247  0.000  0.000
Cl  0.253  0.500  0.500
Cl  0.500  0.253  0.500
Cl  0.500  0.747  0.500
Cl  0.747  0.500  0.500
Cl  0.753  0.000  0.000

Output
The density of states at the Fermi level is 1.062 states/eV per atom. The uncorrected formation energy is 0.7000 eV/atom. The space group is I4/mmm (139). The energy relative to the lowest polymorph listed for this composition comes out at 576 meV per atom. The density comes out at 7.48 g/cm3.

---

No. 2
The following is a PBE-GGA calculation of a relaxed LuZrAl2 crystal, from Alexandria.

a b c (Å): 3.570 3.570 6.491
angles (deg): 90.00 90.00 90.00
Positions (direct):
Lu  0.000  0.000  0.000
Zr  0.000  0.000  0.500
Al  0.500  0.500  0.272
Al  0.500  0.500  0.728

Output
The density of states at the Fermi level is 0.671 states/eV per atom. Its calculated formation energy is -0.35 eV/atom. The space group is P4/mmm (123). The energy relative to the lowest polymorph listed for this composition comes out at 1 meV per atom. The density comes out at 6.43 g/cm3.

---

No. 3
The following is a PBE-GGA calculation of a relaxed TlTc2Se crystal, from Alexandria.

a b c (Å): 9.133 3.097 5.589
angles (deg): 90.00 101.08 90.00
Positions (direct):
Tl  0.000  0.000  0.000
Tl  0.500  0.500  0.000
Tc  0.261  0.500  0.284
Tc  0.489  0.000  0.476
Tc  0.761  0.000  0.284
Tc  0.989  0.500  0.476
Se  0.222  0.000  0.607
Se  0.722  0.500  0.607

Output
The density of states at the Fermi level is 0.821 states/eV per atom. The uncorrected formation energy is 0.4466 eV/atom. The space group is Cm (8). The energy relative to the lowest polymorph listed for this composition comes out at 239 meV per atom. The density comes out at 10.26 g/cm3.

---

No. 4
The following is a PBE-GGA calculation of a relaxed RbUZn2O6 crystal, from Alexandria.

a b c (Å): 7.085 7.085 6.956
angles (deg): 90.04 90.04 100.65
Positions (direct):
Rb  0.077  0.923  0.750
Rb  0.923  0.077  0.250
U  0.314  0.686  0.250
U  0.686  0.314  0.750
Zn  0.229  0.468  0.750
Zn  0.468  0.229  0.250
Zn  0.532  0.771  0.750
Zn  0.771  0.532  0.250
O  0.026  0.674  0.250
O  0.277  0.395  0.250
O  0.320  0.680  0.561
O  0.320  0.680  0.939
O  0.326  0.974  0.250
O  0.395  0.277  0.750
O  0.605  0.723  0.250
O  0.674  0.026  0.750
O  0.680  0.320  0.061
O  0.680  0.320  0.439
O  0.723  0.605  0.750
O  0.974  0.326  0.750

Output
The density of states at the Fermi level is 1.147 states/eV per atom. The uncorrected formation energy is -1.9814 eV/atom. The space group is C2/c (15). The density comes out at 5.33 g/cm3.

---

No. 5
The following is a PBE-GGA calculation of a relaxed LaFe3Tc crystal, from Alexandria.

a b c (Å): 4.488 4.488 4.488
angles (deg): 90.00 90.00 90.00
Positions (direct):
La  0.000  0.000  0.000
Fe  0.000  0.500  0.500
Fe  0.500  0.000  0.500
Fe  0.500  0.500  0.000
Tc  0.500  0.500  0.500

Output
The density of states at the Fermi level is 1.419 states/eV per atom. Its calculated formation energy is 0.78 eV/atom. The space group is Pm-3m (221). The energy relative to the lowest polymorph listed for this composition comes out at 0 meV per atom. The density comes out at 7.43 g/cm3.

---

No. 6
The following is a PBE-GGA calculation of a relaxed Sm3Tl2Hg crystal, from Alexandria.

a b c (Å): 3.791 3.791 11.864
angles (deg): 90.00 90.00 90.00
Positions (direct):
Sm  0.000  0.000  0.000
Sm  0.000  0.000  0.341
Sm  0.000  0.000  0.659
Tl  0.500  0.500  0.172
Tl  0.500  0.500  0.828
Hg  0.500  0.500  0.500

Output
The density of states at the Fermi level is 1.103 states/eV per atom. Its calculated formation energy is -0.41 eV/atom. The space group is P4/mmm (123). The density comes out at 10.33 g/cm3.

---

Among the records above, which one has the lowest density? RbUZn2O6